Density functional theory data (PBE-GGA) for crystalline NaSmDy2 at its relaxed geometry.

It has space group R-3m (No. 166, hexagonal axes), with a = 3.5179 Å, b = 3.5179 Å, c = 38.2016 Å, α = 90.00°, β = 90.00° and γ = 120.00°. The inequivalent atoms are Na at (0.0000, 0.0000, 0.0000), Sm at (0.0000, 0.0000, 0.5000) and Dy at (0.0000, 0.0000, 0.0916).

For the distance to the lowest polymorph of the same formula, the calculation gives 32 meV per atom.


Density functional theory data (PBE-GGA) for crystalline Dy3Y6Tm2In at its relaxed geometry.

It has space group C2/m (No. 12), with a = 6.1033 Å, b = 10.5822 Å, c = 11.6066 Å, α = 90.00°, β = 100.19° and γ = 90.00°. The inequivalent atoms are Dy at (0.0000, 0.0000, 0.0000), Dy at (0.0000, 0.3334, 0.0000), Y at (0.2452, 0.3356, 0.7450), Y at (0.2477, 0.5000, 0.2535), Tm at (0.0000, 0.1659, 0.5000) and In at (0.0000, 0.5000, 0.5000).

The total energy is -5.389 eV/atom.


Density functional theory data (PBE-GGA) for crystalline Tm2TiBiO6 at its relaxed geometry.

It has space group P4mm (No. 99), with a = 5.2815 Å, b = 5.2815 Å, c = 5.5105 Å, α = 90.00°, β = 90.00° and γ = 90.00°. The inequivalent atoms are Tm at (0.0000, 0.5000, 0.0000), Ti at (0.0000, 0.0000, 0.6400), Bi at (0.5000, 0.5000, 0.5307), O at (0.0000, 0.0000, 0.3084), O at (0.2349, 0.2349, 0.7882) and O at (0.5000, 0.5000, 0.1329).

The uncorrected formation energy comes out at -25.42 eV/f.u.


Density functional theory data (PBE-GGA) for crystalline LiTbHoCo at its relaxed geometry.

It has space group F-43m (No. 216), with a = 6.8690 Å, b = 6.8690 Å, c = 6.8690 Å, α = 90.00°, β = 90.00° and γ = 90.00°. The inequivalent atoms are Li at (0.0000, 0.0000, 0.0000), Tb at (0.2500, 0.2500, 0.2500), Ho at (0.2500, 0.2500, 0.7500) and Co at (0.0000, 0.0000, 0.5000).

The total energy is -4.633 eV/atom.


Density functional theory data (PBE-GGA) for crystalline HfSi2Cl at its relaxed geometry.

It has space group I-42d (No. 122), with a = 8.7168 Å, b = 8.7168 Å, c = 4.7422 Å, α = 90.00°, β = 90.00° and γ = 90.00°. The inequivalent atoms are Hf at (0.0000, 0.0000, 0.0000), Si at (0.1858, 0.7500, 0.1250) and Cl at (0.0000, 0.0000, 0.5000).

The uncorrected formation energy comes out at 0.31 eV/f.u. For the distance to the lowest polymorph of the same formula, the calculation gives 0 meV per atom.


Density functional theory data (PBE-GGA) for crystalline AlFePt at its relaxed geometry.

It has space group Cmcm (No. 63), with a = 3.3855 Å, b = 12.4825 Å, c = 3.9167 Å, α = 90.00°, β = 90.00° and γ = 90.00°. The inequivalent atoms are Al at (0.0000, 0.0897, 0.2500), Fe at (0.0000, 0.2518, 0.7500) and Pt at (0.0000, 0.4163, 0.2500).

The total energy is -6.688 eV/atom.


Density functional theory data (PBE-GGA) for crystalline CaCu2F at its relaxed geometry.

It has space group Fm-3m (No. 225), with a = 6.5657 Å, b = 6.5657 Å, c = 6.5657 Å, α = 90.00°, β = 90.00° and γ = 90.00°. The inequivalent atoms are Ca at (0.0000, 0.0000, 0.0000), Cu at (0.2500, 0.2500, 0.2500) and F at (0.0000, 0.0000, 0.5000).

The uncorrected formation energy comes out at -0.66 eV/f.u. For the distance to the lowest polymorph of the same formula, the calculation gives 733 meV per atom.


no.,size of the total moment (μB/cell)
1,0.0
2,0.0
3,0.0
4,0.0
5,0.0
6,10.4
7,0.0